An optimized crystal structure of Ac2PaSe2N2. Source: Alexandria via LeMat-Bulk, functional PBE.

The structure in POSCAR format:
```
Ac2PaSe2N2
1.0
-0.188 0.690 -4.410
4.367 -0.887 -0.325
-3.776 -7.780 1.207
Ac Se Pa N
2 2 1 2
Direct
0.626 0.626 0.252
0.374 0.374 0.748
0.179 0.179 0.357
0.821 0.821 0.643
0.000 0.000 0.000
0.000 0.500 0.000
0.500 0.000 0.000
```

Summary:
- crystal system = tetragonal
- E_form (uncorrected) (eV per atom) = -1.69
- symmetry = I4/mmm
- VASP energy (hartree per atom) = -0.2790
- total magnetization (μB per cell) = 0.0